5
Lattice="4.092 0.000 0.000 0.000 4.092 0.000 0.000 0.000 4.092" Properties=species:S:1:pos:R:3 comment="Ni3BrO, optimized geometry, DFT PBE with a Hubbard U" total_magnetization_mub_per_cell=3.00 final_energy_ev_per_atom=-2.877 pbc="T T T"
Ni 0.000 2.046 0.000
Ni 0.000 0.000 2.046
Ni 2.046 0.000 0.000
O 0.000 0.000 0.000
Br 2.046 2.046 2.046